Here is an optimized crystal structure of YZn3 from Alexandria via LeMat-Bulk. Energies are from PBE.

Structure (CIF):
```
data_YZn3
_chemical_formula_sum 'Y4 Zn12'
_cell_length_a 4.288
_cell_length_b 4.288
_cell_length_c 16.941
_cell_angle_alpha 90.00
_cell_angle_beta 90.00
_cell_angle_gamma 90.00
_space_group_name_H-M_alt 'I 4/m m m'
_space_group_IT_number 139
_space_group_name_Hall '-I 4 2'
loop_
_atom_site_label
_atom_site_type_symbol
_atom_site_fract_x
_atom_site_fract_y
_atom_site_fract_z
Y1 Y 0.000 0.000 0.127
Zn1 Zn 0.000 0.000 0.347
Zn2 Zn 0.000 0.500 0.000
Zn3 Zn 0.000 0.500 0.250
```

Properties
The calculation puts the density of states at the Fermi level at 2.33 states/eV/f.u. Its formation energy is -0.24 eV/atom.